P.
Density functional theory data (GGA-PBE) for an optimized crystal structure of LaHfP2S.

Unit cell a=4.950 b=4.950 c=4.919 alpha=90.00 beta=90.00 gamma=90.00
Space group P4/mmm (No. 123)
Asymmetric unit:
1 La 0.000 0.000 0.000
2 Hf 0.500 0.500 0.500
3 P 0.000 0.500 0.500
4 S 0.500 0.500 0.000

***

Q.
Density functional theory data (GGA-PBE) for an optimized crystal structure of LaHfP2S.

Unit cell a=5.279 b=5.279 c=5.226 alpha=90.00 beta=90.00 gamma=90.00
Space group P4/mmm (No. 123)
Asymmetric unit:
1 La 0.000 0.000 0.000
2 Hf 0.500 0.500 0.500
3 P 0.000 0.500 0.000
4 S 0.000 0.000 0.500

***

Of the structures shown above, P is the most stable.